No. 1
# ScAlTc3 meta-GGA SCAN single point on PBEsol structure
data_ScAlTc3
_space_group_name_H-M_alt 'P m -3 m'
_space_group_IT_number 221
_space_group_name_Hall '-P 4 2 3'
_cell_length_a 4.4902
_cell_length_b 4.4902
_cell_length_c 4.4902
_cell_angle_alpha 90.00
_cell_angle_beta 90.00
_cell_angle_gamma 90.00
loop_
_atom_site_label
_atom_site_type_symbol
_atom_site_fract_x
_atom_site_fract_y
_atom_site_fract_z
Sc1 Sc 0.0000 0.0000 0.0000
Al1 Al 0.5000 0.5000 0.5000
Tc1 Tc 0.0000 0.0000 0.5000
# Energy relative to the elements = 1.746 eV/atom


No. 2
# NiMoAs2 meta-GGA SCAN single point on PBEsol structure
data_NiMoAs2
_space_group_name_H-M_alt 'P 4/m m m'
_space_group_IT_number 123
_space_group_name_Hall '-P 4 2'
_cell_length_a 3.1381
_cell_length_b 3.1381
_cell_length_c 5.6866
_cell_angle_alpha 90.00
_cell_angle_beta 90.00
_cell_angle_gamma 90.00
loop_
_atom_site_label
_atom_site_type_symbol
_atom_site_fract_x
_atom_site_fract_y
_atom_site_fract_z
Ni1 Ni 0.0000 0.0000 0.0000
Mo1 Mo 0.0000 0.0000 0.5000
As1 As 0.5000 0.5000 0.2450
# Energy relative to the elements = -0.007 eV/atom


No. 3
# AlCrP2Pb meta-GGA SCAN single point on PBEsol structure
data_AlCrP2Pb
_space_group_name_H-M_alt 'P 4/m m m'
_space_group_IT_number 123
_space_group_name_Hall '-P 4 2'
_cell_length_a 4.6571
_cell_length_b 4.6571
_cell_length_c 4.8492
_cell_angle_alpha 90.00
_cell_angle_beta 90.00
_cell_angle_gamma 90.00
loop_
_atom_site_label
_atom_site_type_symbol
_atom_site_fract_x
_atom_site_fract_y
_atom_site_fract_z
Al1 Al 0.0000 0.0000 0.0000
Cr1 Cr 0.0000 0.0000 0.5000
P1 P 0.0000 0.5000 0.0000
Pb1 Pb 0.5000 0.5000 0.5000
# Energy relative to the elements = 0.674 eV/atom


The calculation returns the following DOS at the Fermi energy values, one per record and in order: 4.35, 3.39, 3.82 states/eV/cell.